This record from Alexandria via LeMat-Bulk describes a relaxed structure of Re2MoRu. The functional is PBE-GGA.

Energy above the lowest structure with this stoichiometry ... 67 meV/atom
ρ ... 15789 kg/m3
DOS at the Fermi energy ... 0.944 states/eV/atom
Energy relative to the elements ... 0.081 eV/atom
Raw total energy ... -44.68 eV/cell
Total magnetization ... 0.00 μB/atom

Cell: 2.765 3.899 5.555 Å, 90.00 90.00 90.00°
Element x y z (fractional)
Re: 0.000 0.000 0.000
Re: 0.500 0.500 0.242
Mo: 0.000 0.000 0.504
Ru: 0.500 0.500 0.752

---

This record from Alexandria via LeMat-Bulk describes a relaxed structure of ReMoRu2. The functional is PBE-GGA.

Energy above the lowest structure with this stoichiometry ... 0 meV/atom
ρ ... 13725 kg/m3
DOS at the Fermi energy ... 1.073 states/eV/atom
Energy relative to the elements ... 0.022 eV/atom
Raw total energy ... -83.49 eV/cell
Total magnetization ... 0.00 μB/atom

Cell: 3.895 3.895 7.725 Å, 90.00 90.00 90.00°
Element x y z (fractional)
Re: 0.000 0.000 0.000
Re: 0.500 0.500 0.500
Mo: 0.000 0.000 0.500
Mo: 0.500 0.500 0.000
Ru: 0.000 0.500 0.250
Ru: 0.000 0.500 0.750
Ru: 0.500 0.000 0.250
Ru: 0.500 0.000 0.750

---

This record from Alexandria via LeMat-Bulk describes a relaxed structure of ReMoRu2. The functional is PBE-GGA.

Energy above the lowest structure with this stoichiometry ... 1 meV/atom
ρ ... 13725 kg/m3
DOS at the Fermi energy ... 0.937 states/eV/atom
Energy relative to the elements ... 0.022 eV/atom
Raw total energy ... -41.74 eV/cell
Total magnetization ... 0.00 μB/atom

Cell: 2.746 3.871 5.513 Å, 90.00 90.12 90.00°
Element x y z (fractional)
Re: 0.000 0.000 0.000
Mo: 0.000 0.000 0.500
Ru: 0.500 0.500 0.245
Ru: 0.500 0.500 0.755

---

Number 1 is which compound? Re2MoRu

---

Please write out number 1 again, unchanged.
This record from Alexandria via LeMat-Bulk describes a relaxed structure of Re2MoRu. The functional is PBE-GGA.

Energy above the lowest structure with this stoichiometry ... 67 meV/atom
ρ ... 15789 kg/m3
DOS at the Fermi energy ... 0.944 states/eV/atom
Energy relative to the elements ... 0.081 eV/atom
Raw total energy ... -44.68 eV/cell
Total magnetization ... 0.00 μB/atom

Cell: 2.765 3.899 5.555 Å, 90.00 90.00 90.00°
Element x y z (fractional)
Re: 0.000 0.000 0.000
Re: 0.500 0.500 0.242
Mo: 0.000 0.000 0.504
Ru: 0.500 0.500 0.752